[1]
The following is a DFT calculation (PBE) of a geometry-optimized YHgMo2 structure.

Structure (POSCAR):
```
YHgMo2
1.0
-0.291 1.171 3.439
0.605 -3.387 1.204
6.314 1.176 0.134
Hg Mo Y
1 2 1
direct
0.500 0.500 0.750
0.000 0.000 0.933
0.000 0.000 0.567
0.500 0.500 0.250
```

Values from the calculation:
Crystal system: tetragonal
E_form in meV per atom: 510
DFT total energy in eV/cell: -26.4

[2]
The following is a DFT calculation (PBE) of a geometry-optimized YHgMo2 structure.

Structure (POSCAR):
```
YHgMo2
1.0
10.040 -0.040 -0.023
9.587 2.980 -0.023
9.587 1.436 2.611
Hg Mo Y
1 2 1
direct
0.750 0.750 0.750
0.003 0.003 0.003
0.497 0.497 0.497
0.250 0.250 0.250
```

Values from the calculation:
Crystal system: trigonal
E_form in meV per atom: 752
DFT total energy in eV/cell: -25.4

[3]
The following is a DFT calculation (PBE) of a geometry-optimized YHgMo2 structure.

Structure (POSCAR):
```
YHgMo2
1.0
3.306 0.000 0.000
0.000 3.306 0.000
0.000 0.000 7.421
Hg Mo Y
1 2 1
direct
0.500 0.500 0.781
0.000 0.000 0.035
0.500 0.500 0.205
0.000 0.000 0.480
```

Values from the calculation:
Crystal system: tetragonal
E_form in meV per atom: 103
DFT total energy in eV/cell: -28.0

[4]
The following is a DFT calculation (PBE) of a geometry-optimized YHg2Mo structure.

Structure (POSCAR):
```
YHg2Mo
1.0
-4.398 -3.039 -4.381
5.206 0.018 -0.928
0.002 -3.173 -0.086
Hg Mo Y
2 1 1
direct
0.000 0.000 0.000
0.500 0.000 0.500
0.000 0.500 0.500
0.500 0.500 0.000
```

Values from the calculation:
Offset from the most stable computed form in meV per atom: 36
Crystal system: monoclinic
E_form in meV per atom: 213
DFT total energy in eV/cell: -17.0